GdGaP2 | PBE | optimized geometry

a = 3.5120 Å, b = 3.5120 Å, c = 8.7845 Å
α = 78.47°, β = 78.47°, γ = 60.00°
Last column: nearest neighbours and their distance in Å.
Element x y z (fractional)
Ga  0.5000  0.5000  0.5000  6 P 2.52
P  0.1085  0.1085  0.6745  3 Ga 2.52, 1 Gd 2.78
P  0.8915  0.8915  0.3255  3 Ga 2.52, 1 Gd 2.78
Gd  0.0000  0.0000  0.0000  2 P 2.78

DFT total energy in eV per atom: -6.84
Total magnetization in μB/cell: 7.240